(1)
Here is crystalline ReNiBrO2 at its relaxed geometry from Alexandria via LeMat-Bulk. Energies are from GGA+U.

abc: 3.8995 3.8995 5.0857
angles: 90.00 90.00 90.00
Positions (direct):
Re 0.0000 0.0000 0.0000
Ni 0.5000 0.5000 0.0000
Br 0.5000 0.5000 0.5000
O 0.0000 0.5000 0.5000
O 0.5000 0.0000 0.5000

## Properties
Symmetry: P4/mmm, No. 123

(2)
Here is crystalline Np2MnF11 at its relaxed geometry from Alexandria via LeMat-Bulk. Energies are from GGA+U.

abc: 8.4779 8.4779 8.4779
angles: 119.76 107.11 102.09
Positions (direct):
Np 0.1861 0.1497 0.3359
Np 0.3139 0.6497 0.9636
Np 0.6861 0.3503 0.0364
Np 0.8139 0.8503 0.6641
Mn 0.2500 0.7500 0.5000
Mn 0.7500 0.2500 0.5000
F 0.0000 0.0000 0.0000
F 0.0308 0.4445 0.7537
F 0.0631 0.8704 0.6557
F 0.1908 0.9445 0.4137
F 0.2093 0.8660 0.0754
F 0.2147 0.4074 0.3443
F 0.2853 0.6296 0.1927
F 0.2907 0.3660 0.6567
F 0.3092 0.7229 0.7537
F 0.4369 0.0926 0.8073
F 0.4692 0.2229 0.4137
F 0.5000 0.5000 0.0000
F 0.5308 0.7771 0.5863
F 0.5631 0.9074 0.1927
F 0.6908 0.2771 0.2463
F 0.7093 0.6340 0.3433
F 0.7147 0.3704 0.8073
F 0.7853 0.5926 0.6557
F 0.7907 0.1340 0.9246
F 0.8092 0.0555 0.5863
F 0.9369 0.1296 0.3443
F 0.9692 0.5555 0.2463

## Properties
Symmetry: Ibam, No. 72

| no. | calculated total energy (eV per atom) |
| --- | --- |
| 1 | -3.665 |
| 2 | -7.047 |